[1]
First-principles (PBE-GGA) data for Tl3Hg4Pb3Au2 after structural relaxation, as listed in the Alexandria database.

Formation energy   0.023 eV per atom
E_tot   -2.1428 eV per atom
D(E_F)   0.47 states/eV/atom
M_tot   0.00 μB/cell

Lattice parameters (Å, degrees): 5.426 3.627 17.426 95.97 98.96 90.00
Atoms (fractional coordinates):
Tl: 0.499 0.500 0.000
Tl: 0.362 0.328 0.655
Tl: 0.707 0.672 0.345
Hg: 0.360 0.915 0.829
Hg: 0.271 0.237 0.473
Hg: 0.798 0.763 0.527
Hg: 0.531 0.085 0.171
Pb: 0.002 0.000 0.000
Pb: 0.027 0.587 0.175
Pb: 0.852 0.413 0.825
Au: 0.214 0.154 0.309
Au: 0.905 0.846 0.691

---

[2]
First-principles (PBE-GGA) data for UHgPbAu after structural relaxation, as listed in the Alexandria database.

Formation energy   0.070 eV per atom
E_tot   -4.5741 eV per atom
D(E_F)   2.17 states/eV/atom
M_tot   2.97 μB/cell

Lattice parameters (Å, degrees): 5.178 5.178 5.178 60.00 60.00 60.00
Each line ends with the local moment (μB).
Atoms (fractional coordinates):
Pb: 0.000 0.000 0.000  0.00
Au: 0.750 0.750 0.750  0.00
U: 0.500 0.500 0.500  2.68
Hg: 0.250 0.250 0.250  0.03

---

[3]
First-principles (PBE-GGA) data for YHgPbAu after structural relaxation, as listed in the Alexandria database.

Formation energy   -0.426 eV per atom
E_tot   -3.8643 eV per atom
D(E_F)   0.33 states/eV/atom
M_tot   0.00 μB/cell

Lattice parameters (Å, degrees): 5.164 5.164 5.164 60.00 60.00 60.00
Atoms (fractional coordinates):
Pb: 0.250 0.250 0.250
Y: 0.750 0.750 0.750
Au: 0.000 0.000 0.000
Hg: 0.500 0.500 0.500